This record from OQMD describes a relaxed CsAu crystal. The functional is PBE-GGA.

Cell: 5.689 5.689 9.260 Å, 90.00 90.00 120.00°
Sites, in units of the cell vectors:
Cs (0.000, 0.000, 0.375)
Cs (0.333, 0.667, 0.875)
Au (0.333, 0.667, 0.500)
Au (0.000, 0.000, 0.000)

Summary:
Total DFT energy (no corrections) = -2.29 eV/atom
SG = P6_3mc
Calculated volume = 259.5 Å³ per cell
Energy above the most stable polymorph in this dataset = 90 meV/atom
Crystal system = hexagonal